A plane-wave DFT calculation with PBE-GGA was carried out for an optimized crystal structure of GaPd5Pt6.

Lattice parameters (Å, degrees): 3.9344 7.3832 7.3832 106.14 105.47 105.47
Element x y z (fractional)
Pt (0.2476, 0.0816, 0.4134)
Pt (0.7524, 0.5866, 0.9184)
Pt (0.7460, 0.2460, 0.2460)
Pt (0.2540, 0.7540, 0.7540)
Pt (0.2476, 0.4134, 0.0816)
Pt (0.7524, 0.9184, 0.5866)
Pd (0.5000, 0.1636, 0.8364)
Pd (0.0000, 0.3345, 0.6655)
Pd (0.5000, 0.5000, 0.5000)
Pd (0.0000, 0.6655, 0.3345)
Pd (0.5000, 0.8364, 0.1636)
Ga (0.0000, 0.0000, 0.0000)

Results
**Spin magnetization**: 0.00 μB per formula unit
**SG**: Immm
**E_form**: -0.177 eV/atom